# 1
A relaxed MgCrSb crystal. Source: Alexandria, functional GGA-PBE.

Output
- uncorrected formation energy (meV per atom) = 334
- DFT total energy (eV/atom) = -4.780

abc: 3.349 3.349 6.771
angles: 90.00 90.00 120.00
Fractional coordinates of all 3 atoms:
Mg (0.000, 0.000, 0.000)
Cr (0.333, 0.667, 0.671)
Sb (0.667, 0.333, 0.373)

# 2
A relaxed Cs2CrWCl6 crystal. Source: Alexandria, functional GGA-PBE.

Output
- uncorrected formation energy (meV per atom) = -1082
- DFT total energy (eV/atom) = -4.619

abc: 7.332 7.332 7.332
angles: 120.18 120.18 89.68
Fractional coordinates of all 10 atoms:
Cs (0.250, 0.750, 0.500)
Cs (0.750, 0.250, 0.500)
Cr (0.000, 0.000, 0.000)
W (0.500, 0.500, 0.000)
Cl (0.258, 0.258, 0.515)
Cl (0.258, 0.742, 0.000)
Cl (0.259, 0.259, 0.000)
Cl (0.741, 0.741, 0.000)
Cl (0.742, 0.258, 0.000)
Cl (0.742, 0.742, 0.485)

# 3
A relaxed SrOs2Pt crystal. Source: Alexandria, functional GGA-PBE.

Output
- formation energy (kJ per mole of atoms) = 66
- DFT total energy (eV/atom) = -6.863

abc: 2.815 4.910 5.448
angles: 90.00 99.70 90.00
Fractional coordinates of all 4 atoms:
Sr (0.000, 0.000, 0.000)
Os (0.320, 0.500, 0.701)
Os (0.680, 0.500, 0.299)
Pt (0.500, 0.000, 0.500)

# 4
A relaxed Ca2LaTlO crystal. Source: Alexandria, functional GGA-PBE.

Output
- uncorrected formation energy (meV per atom) = -1395
- DFT total energy (eV/atom) = -4.646

abc: 4.924 4.924 5.069
angles: 90.00 90.00 90.00
Fractional coordinates of all 5 atoms:
Ca (0.000, 0.500, 0.000)
Ca (0.500, 0.000, 0.000)
La (0.000, 0.000, 0.500)
Tl (0.500, 0.500, 0.500)
O (0.000, 0.000, 0.000)

# 5
A relaxed VNi2AgPd crystal. Source: Alexandria, functional GGA-PBE.

Output
- formation energy (kJ per mole of atoms) = 82
- DFT total energy (eV/atom) = -4.892

abc: 4.290 4.290 4.617
angles: 90.00 90.00 90.00
Fractional coordinates of all 5 atoms:
V (0.000, 0.000, 0.000)
Ni (0.000, 0.500, 0.000)
Ni (0.500, 0.000, 0.000)
Ag (0.500, 0.500, 0.500)
Pd (0.000, 0.000, 0.500)

# 6
A relaxed KPaNi2Se4 crystal. Source: Alexandria, functional GGA-PBE.

Output
- uncorrected formation energy (meV per atom) = -616
- DFT total energy (eV/atom) = -5.128

abc: 6.133 6.133 6.133
angles: 116.50 111.03 101.24
Fractional coordinates of all 8 atoms:
K (0.000, 0.000, 0.000)
Pa (0.500, 0.500, 0.000)
Ni (0.334, 0.834, 0.500)
Ni (0.666, 0.166, 0.500)
Se (0.042, 0.045, 0.533)
Se (0.488, 0.955, 0.997)
Se (0.512, 0.508, 0.467)
Se (0.958, 0.492, 0.003)